# 1
The following is a PBE-GGA calculation of crystalline ZnN2F2 at its relaxed geometry, from the Alexandria database.

a b c (Å): 5.648 5.648 3.525
angles (deg): 90.00 90.00 90.00
Space group P4/mbm (No. 127)
One atom of each set of equivalent atoms:
Zn (0.000, 0.000, 0.000)
N (0.070, 0.430, 0.000)
F (0.231, 0.731, 0.500)

Results
The value obtained for the density of states at the Fermi level is 2.336 states/eV/f.u. The raw formation energy is -407 meV/atom.

=====

# 2
The following is a PBE-GGA calculation of crystalline ZnN2F2 at its relaxed geometry, from the Alexandria database.

a b c (Å): 4.069 4.069 3.875
angles (deg): 90.00 90.00 90.00
Space group P4/mmm (No. 123)
One atom of each set of equivalent atoms:
Zn (0.000, 0.000, 0.000)
N (0.000, 0.500, 0.000)
F (0.000, 0.000, 0.500)
F (0.500, 0.500, 0.500)

Results
The value obtained for the density of states at the Fermi level is 6.190 states/eV/f.u. The raw formation energy is 1113 meV/atom.

=====

Summary of total moment in μB/cell
0.00; 3.50
(order as listed above)